Material: Er3Te2H2
Method: DFT, GGA-PBE
State: relaxed

Computed properties:
E_tot ... -4.747 eV per atom

Cell: 3.990 4.434 8.755 Å, 104.66 103.15 90.00°
Space group P-1 (No. 2)
One atom of each set of equivalent atoms:
Er (0.000, 0.000, 0.000)
Er (0.383, 0.382, 0.763)
Te (0.178, 0.179, 0.359)
H (0.500, 0.248, 0.000)